# MnIn2 PBE relaxed
data_MnIn2
_chemical_formula_sum 'Mn4 In8'
_cell_length_a 6.483
_cell_length_b 6.483
_cell_length_c 6.483
_cell_angle_alpha 90.00
_cell_angle_beta 90.00
_cell_angle_gamma 90.00
_symmetry_space_group_name_H-M 'P 1'
_symmetry_Int_Tables_number 1
loop_
_symmetry_equiv_pos_as_xyz
'x,y,z'
loop_
_atom_site_label
_atom_site_type_symbol
_atom_site_fract_x
_atom_site_fract_y
_atom_site_fract_z
Mn1 Mn 0.000 0.000 0.000
Mn2 Mn 0.000 0.500 0.500
Mn3 Mn 0.500 0.000 0.500
Mn4 Mn 0.500 0.500 0.000
In1 In 0.250 0.250 0.250
In2 In 0.250 0.250 0.750
In3 In 0.250 0.750 0.250
In4 In 0.250 0.750 0.750
In5 In 0.750 0.250 0.250
In6 In 0.750 0.250 0.750
In7 In 0.750 0.750 0.250
In8 In 0.750 0.750 0.750
# energy relative to the elements = 210 meV per atom
# symmetry = Fm-3m